The following is a DFT calculation (PBE) of BeTeBr2 after structural relaxation.

As for the density of states at the Fermi level: 15.79 states/eV per cell. Its energy above the lowest structure with this stoichiometry is 312 meV per atom. The total energy comes out at -2.630 eV/atom.

It has space group I-42d (No. 122), with a = 7.121 Å, b = 7.121 Å, c = 9.514 Å, α = 90.00°, β = 90.00° and γ = 90.00°. The inequivalent atoms are Be at (0.000, 0.000, 0.000), Te at (0.000, 0.000, 0.500) and Br at (0.085, 0.250, 0.125).